# Mg2MnIr

A relaxed Mg2MnIr crystal (GGA-PBE, Alexandria).

Cell: 3.8600 2.9672 6.3951 Å, 62.34 90.00 90.00°
With the nearest neighbours (Å) after each atom.
Fractional coordinates of all 4 atoms:
Mg 0.0000 0.0137 0.9856  3 Mg 2.67-2.97, 4 Ir 2.78, 4 Mn 2.86
Mg 0.0000 0.4863 0.5144  3 Mg 2.67-2.97, 4 Ir 2.78, 4 Mn 2.86
Mn 0.5000 0.2500 0.2500  2 Ir 2.83, 8 Mg 2.86, 2 Mn 2.97
Ir 0.5000 0.7500 0.7500  8 Mg 2.78, 2 Mn 2.83, 2 Ir 2.97

* energy: -5.35 eV/atom
* E_form: -0.05 eV/atom
* spin magnetization: 3.904 Bohr magnetons per cell
* relative energy among the computed polymorphs: 84 meV per atom